Density functional theory data (PBE) for a relaxed Ca5Sn3O crystal.

Structure (POSCAR):
```
Ca5Sn3O
1.0
-4.121 4.121 7.559
4.121 -4.121 7.559
4.121 4.121 -7.559
Ca Sn O
10 6 2
Cartesian
0.000 0.000 0.000 Ca
2.879 -1.242 2.428 Ca
5.363 -1.242 5.131 Ca
5.363 1.242 2.428 Ca
2.879 1.242 5.131 Ca
0.000 0.000 7.559 Ca
1.242 2.879 2.428 Ca
-1.242 2.879 5.131 Ca
-1.242 5.363 2.428 Ca
1.242 5.363 5.131 Ca
3.083 1.038 0.000 Sn
0.000 0.000 3.779 Sn
3.083 -1.038 7.559 Sn
1.038 5.159 0.000 Sn
0.000 0.000 11.338 Sn
1.038 3.083 7.559 Sn
4.121 0.000 3.779 O
0.000 4.121 3.779 O
```

M_tot: 0.00 μB per formula unit
VASP energy: -4.124 eV/atom

---

Density functional theory data (PBE) for a relaxed GaTeRu2 crystal.

Structure (POSCAR):
```
GaTeRu2
1.0
-2.875 2.875 5.645
2.875 -2.875 5.645
2.875 2.875 -5.645
Ga Te Ru
2 2 4
Cartesian
0.000 0.000 0.000 Ga
0.000 2.875 2.823 Ga
2.875 0.000 2.823 Te
0.000 0.000 5.645 Te
4.312 1.354 -1.411 Ru
1.354 1.437 1.411 Ru
-1.437 1.521 4.234 Ru
1.521 1.437 7.057 Ru
```

M_tot: 0.00 μB per formula unit
relative energy among the computed polymorphs: 515.0 meV per atom

---

Density functional theory data (PBE) for a relaxed CeAgPd14 crystal.

Structure (POSCAR):
```
CeAgPd14
1.0
5.696 0.000 0.000
0.000 5.696 0.000
0.000 0.000 7.966
Ce Ag Pd
1 1 14
Cartesian
0.000 0.000 0.000 Ce
2.848 2.848 0.000 Ag
0.000 0.000 3.983 Pd
0.000 2.848 0.000 Pd
0.000 2.848 3.983 Pd
1.424 1.424 2.030 Pd
1.424 1.424 5.936 Pd
1.424 4.272 2.030 Pd
1.424 4.272 5.936 Pd
2.848 0.000 0.000 Pd
2.848 0.000 3.983 Pd
2.848 2.848 3.983 Pd
4.272 1.424 2.030 Pd
4.272 1.424 5.936 Pd
4.272 4.272 2.030 Pd
4.272 4.272 5.936 Pd
```

formation energy: -0.22 eV/atom
M_tot: 0.00 μB per formula unit

---

Density functional theory data (PBE) for a relaxed RbErPu2O8 crystal.

Structure (POSCAR):
```
RbErPu2O8
1.0
6.190 0.000 0.000
-3.095 5.361 0.000
0.000 0.000 7.904
Rb Er Pu O
1 1 2 8
Cartesian
0.000 0.000 0.000 Rb
0.000 0.000 3.952 Er
0.000 3.574 1.725 Pu
3.095 1.787 6.179 Pu
0.000 1.775 2.568 O
-1.558 4.474 2.568 O
1.537 0.887 5.336 O
0.000 3.574 7.740 O
3.095 1.787 0.164 O
1.558 4.474 2.568 O
4.654 0.887 5.336 O
3.095 3.586 5.336 O
```

M_tot: 4.00 μB per formula unit
VASP energy: -8.396 eV/atom

---

Density functional theory data (PBE) for a relaxed K2BeNi crystal.

Structure (POSCAR):
```
K2BeNi
1.0
-2.313 2.313 4.849
2.313 -2.313 4.849
2.313 2.313 -4.849
K Be Ni
2 1 1
Cartesian
2.313 0.000 2.425 K
0.000 2.313 2.425 K
0.000 0.000 0.000 Be
0.000 0.000 4.849 Ni
```

formation energy: 1.08 eV/atom
M_tot: 0.12 μB per formula unit

---

Density functional theory data (PBE) for a relaxed CsMn3Cd crystal.

Structure (POSCAR):
```
CsMn3Cd
1.0
5.109 0.000 0.000
0.000 5.109 0.000
0.000 0.000 5.109
Cs Mn Cd
1 3 1
Cartesian
0.000 0.000 0.000 Cs
0.000 0.000 2.555 Mn
0.000 2.555 0.000 Mn
2.555 0.000 0.000 Mn
2.555 2.555 2.555 Cd
```

formation energy: 2.20 eV/atom
M_tot: 11.13 μB per formula unit

---

Density functional theory data (PBE) for a relaxed ZnBW3 crystal.

Structure (POSCAR):
```
ZnBW3
1.0
4.199 0.000 0.000
0.000 4.199 0.000
0.000 0.000 4.199
Zn B W
1 1 3
Cartesian
0.000 0.000 0.000 Zn
2.099 2.099 2.099 B
0.000 2.099 2.099 W
2.099 0.000 2.099 W
2.099 2.099 0.000 W
```

formation energy: 0.46 eV/atom
M_tot: 0.00 μB per formula unit
relative energy among the computed polymorphs: 0.0 meV per atom

---

Density functional theory data (PBE) for a relaxed La2VZn2 crystal.

Structure (POSCAR):
```
La2VZn2
1.0
7.284 0.000 0.000
0.000 7.284 0.000
0.000 0.000 4.698
La V Zn
4 2 4
Cartesian
1.289 2.353 0.000 La
2.353 5.995 0.000 La
4.931 1.289 0.000 La
5.995 4.931 0.000 La
0.000 0.000 2.349 V
3.642 3.642 2.349 V
0.932 4.574 2.349 Zn
2.710 0.932 2.349 Zn
4.574 6.352 2.349 Zn
6.352 2.710 2.349 Zn
```

formation energy: 0.07 eV/atom
M_tot: 3.83 μB per formula unit
relative energy among the computed polymorphs: 0.0 meV per atom